# 1
{"formula": "Pm2Ga5Pd3", "functional": "PBE", "state": "optimized geometry", "formation_enthalpy_0k_ev_per_atom": -0.789, "density_g_cm3": 8.30, "spacegroup": "Ibam (72)", "dos_ef_per_ev_cell": 10.348, "e_tot_ev_per_atom": -4.810, "lattice_angstrom": [[-5.1509, 6.3971, 2.9063], [5.1509, -6.3971, 2.9063], [5.1509, 6.3971, -2.9063]], "species": ["Pm", "Pm", "Pm", "Pm", "Ga", "Ga", "Ga", "Ga", "Ga", "Ga", "Ga", "Ga", "Ga", "Ga", "Pd", "Pd", "Pd", "Pd", "Pd", "Pd"], "fractional_positions": [[0.1372, 0.2261, 0.3633], [0.3628, 0.7261, 0.0889], [0.6372, 0.2739, 0.9111], [0.8628, 0.7739, 0.6367], [0.0399, 0.7500, 0.2899], [0.0979, 0.6659, 0.7637], [0.2500, 0.2500, 0.0000], [0.4021, 0.1659, 0.5680], [0.4601, 0.7500, 0.7101], [0.5399, 0.2500, 0.2899], [0.5979, 0.8341, 0.4320], [0.7500, 0.7500, 0.0000], [0.9021, 0.3341, 0.2363], [0.9601, 0.2500, 0.7101], [0.1436, 0.9030, 0.0466], [0.2500, 0.7500, 0.5000], [0.3564, 0.4030, 0.7594], [0.6436, 0.5970, 0.2406], [0.7500, 0.2500, 0.5000], [0.8564, 0.0970, 0.9534]]}

# 2
{"formula": "PmGaPd3", "functional": "PBE", "state": "optimized geometry", "formation_enthalpy_0k_ev_per_atom": -0.629, "density_g_cm3": 8.93, "spacegroup": "P6_3/mmc (194)", "dos_ef_per_ev_cell": 9.012, "e_tot_ev_per_atom": -5.300, "lattice_angstrom": [[6.2542, 0.0000, 0.0000], [-3.1271, 5.4163, 0.0000], [0.0000, 0.0000, 11.7207]], "species": ["Pm", "Pm", "Pm", "Pm", "Ga", "Ga", "Ga", "Ga", "Pd", "Pd", "Pd", "Pd", "Pd", "Pd", "Pd", "Pd", "Pd", "Pd", "Pd", "Pd"], "fractional_positions": [[0.0000, 0.0000, 0.0000], [0.0000, 0.0000, 0.5000], [0.3333, 0.6667, 0.2500], [0.6667, 0.3333, 0.7500], [0.3333, 0.6667, 0.6398], [0.3333, 0.6667, 0.8602], [0.6667, 0.3333, 0.1398], [0.6667, 0.3333, 0.3602], [0.0000, 0.5000, 0.0000], [0.0000, 0.5000, 0.5000], [0.1400, 0.2799, 0.7500], [0.1400, 0.8600, 0.7500], [0.2799, 0.1400, 0.2500], [0.5000, 0.0000, 0.0000], [0.5000, 0.0000, 0.5000], [0.5000, 0.5000, 0.0000], [0.5000, 0.5000, 0.5000], [0.7201, 0.8600, 0.7500], [0.8600, 0.1400, 0.2500], [0.8600, 0.7201, 0.2500]]}

# 3
{"formula": "Pm2GaPd", "functional": "PBE", "state": "optimized geometry", "formation_enthalpy_0k_ev_per_atom": -0.661, "density_g_cm3": 8.04, "spacegroup": "P4/mmm (123)", "dos_ef_per_ev_cell": 1.836, "e_tot_ev_per_atom": -5.091, "lattice_angstrom": [[3.5870, 0.0000, 0.0000], [0.0000, 3.5870, 0.0000], [0.0000, 0.0000, 7.4831]], "species": ["Pm", "Pm", "Ga", "Pd"], "fractional_positions": [[0.0000, 0.0000, 0.2408], [0.0000, 0.0000, 0.7592], [0.5000, 0.5000, 0.5000], [0.5000, 0.5000, 0.0000]]}

# 4
{"formula": "Pm3Ga9Pd2", "functional": "PBE", "state": "optimized geometry", "formation_enthalpy_0k_ev_per_atom": -0.672, "density_g_cm3": 7.84, "spacegroup": "Immm (71)", "dos_ef_per_ev_cell": 4.106, "e_tot_ev_per_atom": -4.378, "lattice_angstrom": [[-2.1473, 4.9832, 6.3089], [2.1473, -4.9832, 6.3089], [2.1473, 4.9832, -6.3089]], "species": ["Pm", "Pm", "Pm", "Ga", "Ga", "Ga", "Ga", "Ga", "Ga", "Ga", "Ga", "Ga", "Pd", "Pd"], "fractional_positions": [[0.0000, 0.0000, 0.0000], [0.3184, 0.3184, 0.0000], [0.6816, 0.6816, 0.0000], [0.0377, 0.6663, 0.3714], [0.1450, 0.8692, 0.2758], [0.2949, 0.6663, 0.6286], [0.4065, 0.1308, 0.2758], [0.5000, 0.0000, 0.5000], [0.5935, 0.8692, 0.7242], [0.7051, 0.3337, 0.3714], [0.8550, 0.1308, 0.7242], [0.9623, 0.3337, 0.6286], [0.2785, 0.5000, 0.7785], [0.7215, 0.5000, 0.2215]]}

# 5
{"formula": "Pm3Ga2Pd7", "functional": "PBE", "state": "optimized geometry", "formation_enthalpy_0k_ev_per_atom": -0.653, "density_g_cm3": 8.74, "spacegroup": "Cmmm (65)", "dos_ef_per_ev_cell": 3.509, "e_tot_ev_per_atom": -5.375, "lattice_angstrom": [[2.0908, -14.7204, 0.0000], [2.0908, 14.7204, 0.0000], [0.0000, 0.0000, 4.0705]], "species": ["Pm", "Pm", "Pm", "Ga", "Ga", "Pd", "Pd", "Pd", "Pd", "Pd", "Pd", "Pd"], "fractional_positions": [[0.0000, 0.0000, 0.0000], [0.2010, 0.7990, 0.0000], [0.7990, 0.2010, 0.0000], [0.4170, 0.5830, 0.5000], [0.5830, 0.4170, 0.5000], [0.1303, 0.8697, 0.5000], [0.2884, 0.7116, 0.5000], [0.3674, 0.6326, 0.0000], [0.5000, 0.5000, 0.5000], [0.6326, 0.3674, 0.0000], [0.7116, 0.2884, 0.5000], [0.8697, 0.1303, 0.5000]]}

# 6
{"formula": "Pm3Ga2Pd7", "functional": "PBE", "state": "optimized geometry", "formation_enthalpy_0k_ev_per_atom": -0.787, "density_g_cm3": 9.29, "spacegroup": "P2/m (10)", "dos_ef_per_ev_cell": 6.225, "e_tot_ev_per_atom": -5.509, "lattice_angstrom": [[4.2170, 0.0000, 0.0000], [0.0000, 4.0870, 0.0000], [-2.1023, 0.0000, 13.6804]], "species": ["Pm", "Pm", "Pm", "Ga", "Ga", "Pd", "Pd", "Pd", "Pd", "Pd", "Pd", "Pd"], "fractional_positions": [[0.0000, 0.0000, 0.0000], [0.3190, 0.5000, 0.6382], [0.6810, 0.5000, 0.3618], [0.1309, 0.0000, 0.2622], [0.8691, 0.0000, 0.7378], [0.0784, 0.5000, 0.1579], [0.2206, 0.0000, 0.4414], [0.4202, 0.0000, 0.8402], [0.5000, 0.5000, 0.0000], [0.5798, 0.0000, 0.1598], [0.7794, 0.0000, 0.5586], [0.9216, 0.5000, 0.8421]]}

# 7
{"formula": "Pm2Ga3Pd6", "functional": "PBE", "state": "optimized geometry", "formation_enthalpy_0k_ev_per_atom": -0.710, "density_g_cm3": 9.02, "spacegroup": "P-62m (189)", "dos_ef_per_ev_cell": 6.151, "e_tot_ev_per_atom": -5.231, "lattice_angstrom": [[7.4154, 0.0000, 0.0000], [-3.7077, 6.4219, 0.0000], [0.0000, 0.0000, 4.3994]], "species": ["Pm", "Pm", "Ga", "Ga", "Ga", "Pd", "Pd", "Pd", "Pd", "Pd", "Pd"], "fractional_positions": [[0.3333, 0.6667, 0.0000], [0.6667, 0.3333, 0.0000], [0.0000, 0.3859, 0.5000], [0.3859, 0.0000, 0.5000], [0.6141, 0.6141, 0.5000], [0.0000, 0.2156, 0.0000], [0.0000, 0.7211, 0.5000], [0.2156, 0.0000, 0.0000], [0.2789, 0.2789, 0.5000], [0.7211, 0.0000, 0.5000], [0.7844, 0.7844, 0.0000]]}

# 8
{"formula": "Pm4GaPd", "functional": "PBE", "state": "optimized geometry", "formation_enthalpy_0k_ev_per_atom": -0.415, "density_g_cm3": 7.25, "spacegroup": "P2_1/m (11)", "dos_ef_per_ev_cell": 14.237, "e_tot_ev_per_atom": -4.953, "lattice_angstrom": [[6.2558, 0.0000, 0.0000], [0.0000, 6.9779, 0.0000], [-2.8546, 0.0000, 7.9357]], "species": ["Pm", "Pm", "Pm", "Pm", "Pm", "Pm", "Pm", "Pm", "Ga", "Ga", "Pd", "Pd"], "fractional_positions": [[0.0029, 0.0009, 0.2358], [0.0029, 0.4991, 0.2358], [0.4065, 0.2500, 0.6086], [0.4267, 0.2500, 0.1018], [0.5733, 0.7500, 0.8982], [0.5935, 0.7500, 0.3914], [0.9971, 0.5009, 0.7642], [0.9971, 0.9991, 0.7642], [0.2072, 0.7500, 0.5513], [0.7928, 0.2500, 0.4487], [0.2383, 0.7500, 0.0614], [0.7617, 0.2500, 0.9386]]}